DFT (GGA-PBE) results for a geometry-optimized Ac15Sm4Tm structure.

Calculated values
Symmetry: P4/mmm, No. 123
Volume (A^3/atom): 41.78
Electronic total energy (eV per formula unit): -84.37
Formation energy (eV/atom): 0.0302
DOS at the Fermi energy (states/eV per cell): 29.1

Lattice parameters (Å, degrees): 5.517 5.517 27.451 90.00 90.00 90.00
Element x y z (fractional)
Ac1 0.500 0.500 0.000
Ac2 0.500 0.500 0.199
Ac3 0.500 0.500 0.400
Ac4 0.500 0.500 0.600
Ac5 0.500 0.500 0.801
Ac6 0.500 0.000 0.099
Ac7 0.500 0.000 0.299
Ac8 0.500 0.000 0.500
Ac9 0.500 0.000 0.701
Ac10 0.500 0.000 0.901
Ac11 0.000 0.500 0.099
Ac12 0.000 0.500 0.299
Ac13 0.000 0.500 0.500
Ac14 0.000 0.500 0.701
Ac15 0.000 0.500 0.901
Sm1 0.000 0.000 0.199
Sm2 0.000 0.000 0.400
Sm3 0.000 0.000 0.600
Sm4 0.000 0.000 0.801
Tm1 0.000 0.000 0.000


DFT (GGA-PBE) results for a geometry-optimized AcSmTm3 structure.

Calculated values
Symmetry: P2_1/c, No. 14
Energy above the lowest structure with this stoichiometry (eV per atom): 0.046
Volume (A^3/atom): 33.63
Electronic total energy (eV per formula unit): -21.78
Formation energy (eV/atom): 0.0918
DOS at the Fermi energy (states/eV per cell): 29.0

Lattice parameters (Å, degrees): 6.194 9.737 12.643 118.11 90.00 90.00
Element x y z (fractional)
Ac1 0.742 0.583 0.475
Ac2 0.758 0.083 0.975
Ac3 0.242 0.917 0.025
Ac4 0.258 0.417 0.525
Sm1 0.637 0.484 0.172
Sm2 0.863 0.984 0.672
Sm3 0.137 0.016 0.328
Sm4 0.363 0.516 0.828
Tm1 0.627 0.172 0.278
Tm2 0.212 0.729 0.425
Tm3 0.873 0.672 0.778
Tm4 0.665 0.884 0.380
Tm5 0.288 0.229 0.925
Tm6 0.165 0.616 0.120
Tm7 0.835 0.384 0.880
Tm8 0.712 0.771 0.075
Tm9 0.335 0.116 0.620
Tm10 0.127 0.328 0.222
Tm11 0.788 0.271 0.575
Tm12 0.373 0.828 0.722


DFT (GGA-PBE) results for a geometry-optimized Ac2SmTm structure.

Calculated values
Symmetry: R-3m, No. 166
Energy above the lowest structure with this stoichiometry (eV per atom): 0.215
Volume (A^3/atom): 39.03
Electronic total energy (eV per formula unit): -16.37
Formation energy (eV/atom): 0.2601
DOS at the Fermi energy (states/eV per cell): 7.2

Lattice parameters (Å, degrees): 3.707 3.707 13.292 81.98 81.98 60.00
Element x y z (fractional)
Ac1 0.088 0.088 0.737
Ac2 0.912 0.912 0.263
Tm1 0.000 0.000 0.000
Sm1 0.500 0.500 0.500


DFT (GGA-PBE) results for a geometry-optimized AcSm2Y5Tm structure.

Calculated values
Symmetry: I4/mcm, No. 140
Volume (A^3/atom): 34.04
Electronic total energy (eV per formula unit): -48.05
Formation energy (eV/atom): 0.2543
DOS at the Fermi energy (states/eV per cell): 20.4

Lattice parameters (Å, degrees): 8.903 8.903 9.970 116.52 116.52 90.00
Element x y z (fractional)
Ac1 0.250 0.250 0.500
Ac2 0.750 0.750 0.500
Sm1 0.115 0.385 0.000
Sm2 0.615 0.115 0.000
Sm3 0.385 0.885 0.000
Sm4 0.885 0.615 0.000
Y1 0.926 0.426 0.263
Y2 0.663 0.163 0.737
Y3 0.074 0.574 0.737
Y4 0.163 0.074 0.737
Y5 0.574 0.663 0.737
Y6 0.837 0.926 0.263
Y7 0.426 0.337 0.263
Y8 0.337 0.837 0.263
Y9 0.500 0.500 0.000
Y10 0.000 0.000 0.000
Tm1 0.250 0.750 0.500
Tm2 0.750 0.250 0.500


DFT (GGA-PBE) results for a geometry-optimized AcSm3Y6Tm2 structure.

Calculated values
Symmetry: C2/m, No. 12
Volume (A^3/atom): 33.07
Electronic total energy (eV per formula unit): -65.66
Formation energy (eV/atom): 0.0279
DOS at the Fermi energy (states/eV per cell): 16.0

Lattice parameters (Å, degrees): 6.242 6.242 11.939 94.98 94.98 119.97
Element x y z (fractional)
Ac1 0.000 0.000 0.000
Sm1 0.167 0.833 0.500
Sm2 0.833 0.167 0.500
Sm3 0.500 0.500 0.500
Y1 0.916 0.580 0.748
Y2 0.748 0.748 0.252
Y3 0.084 0.420 0.252
Y4 0.580 0.916 0.748
Y5 0.252 0.252 0.748
Y6 0.420 0.084 0.252
Tm1 0.333 0.667 0.000
Tm2 0.667 0.333 0.000


DFT (GGA-PBE) results for a geometry-optimized AcSmYTm structure.

Calculated values
Symmetry: F-43m, No. 216
Energy above the lowest structure with this stoichiometry (eV per atom): 0.042
Volume (A^3/atom): 35.34
Electronic total energy (eV per formula unit): -19.34
Formation energy (eV/atom): 0.1070
DOS at the Fermi energy (states/eV per cell): 6.8

Lattice parameters (Å, degrees): 5.847 5.847 5.847 60.00 60.00 60.00
Element x y z (fractional)
Y1 0.000 0.000 0.000
Ac1 0.750 0.750 0.750
Tm1 0.500 0.500 0.500
Sm1 0.250 0.250 0.250


DFT (GGA-PBE) results for a geometry-optimized AcSm2YTm structure.

Calculated values
Symmetry: P2_1/m, No. 11
Volume (A^3/atom): 35.06
Electronic total energy (eV per formula unit): -24.28
Formation energy (eV/atom): 0.0414
DOS at the Fermi energy (states/eV per cell): 17.8

Lattice parameters (Å, degrees): 5.867 9.890 6.407 109.40 90.00 90.00
Element x y z (fractional)
Ac1 0.250 0.107 0.972
Ac2 0.750 0.893 0.028
Sm1 0.750 0.696 0.432
Sm2 0.250 0.304 0.568
Sm3 0.750 0.499 0.837
Sm4 0.250 0.501 0.163
Y1 0.250 0.892 0.371
Y2 0.750 0.108 0.629
Tm1 0.250 0.689 0.756
Tm2 0.750 0.311 0.244


DFT (GGA-PBE) results for a geometry-optimized Ac2SmYTm structure.

Calculated values
Symmetry: Pmma, No. 51
Volume (A^3/atom): 38.53
Electronic total energy (eV per formula unit): -22.54
Formation energy (eV/atom): 0.2661
DOS at the Fermi energy (states/eV per cell): 12.2

Lattice parameters (Å, degrees): 6.723 8.924 6.422 89.99 90.00 90.00
Element x y z (fractional)
Ac1 0.711 0.705 0.750
Ac2 0.711 0.295 0.750
Ac3 0.289 0.705 0.250
Ac4 0.289 0.295 0.250
Sm1 0.585 0.000 0.250
Sm2 0.415 0.000 0.750
Y1 0.184 0.500 0.750
Y2 0.816 0.500 0.250
Tm1 0.000 0.000 0.000
Tm2 0.000 0.000 0.500


DFT (GGA-PBE) results for a geometry-optimized AcSm5Y2Tm structure.

Calculated values
Symmetry: Cmc2_1, No. 36
Volume (A^3/atom): 35.34
Electronic total energy (eV per formula unit): -43.82
Formation energy (eV/atom): 0.1429
DOS at the Fermi energy (states/eV per cell): 23.9

Lattice parameters (Å, degrees): 5.552 12.511 9.391 90.00 90.00 102.82
Element x y z (fractional)
Ac1 0.602 0.204 0.929
Ac2 0.398 0.796 0.429
Sm1 0.395 0.789 0.028
Sm2 0.742 0.484 0.868
Sm3 0.476 0.953 0.750
Sm4 0.308 0.616 0.724
Sm5 0.010 0.020 0.529
Sm6 0.605 0.211 0.528
Sm7 0.258 0.516 0.368
Sm8 0.524 0.047 0.250
Sm9 0.692 0.384 0.224
Sm10 0.990 0.980 0.029
Y1 0.887 0.775 0.775
Y2 0.172 0.344 0.682
Y3 0.113 0.225 0.275
Y4 0.828 0.656 0.182
Tm1 0.759 0.519 0.540
Tm2 0.241 0.481 0.040


DFT (GGA-PBE) results for a geometry-optimized AcSm2Y6Tm3 structure.

Calculated values
Symmetry: C2/m, No. 12
Volume (A^3/atom): 32.85
Electronic total energy (eV per formula unit): -65.33
Formation energy (eV/atom): 0.0350
DOS at the Fermi energy (states/eV per cell): 17.7

Lattice parameters (Å, degrees): 6.238 6.238 11.878 95.02 95.02 119.97
Element x y z (fractional)
Ac1 0.000 0.000 0.000
Sm1 0.333 0.667 0.000
Sm2 0.667 0.333 0.000
Y1 0.914 0.578 0.743
Y2 0.751 0.751 0.257
Y3 0.086 0.422 0.257
Y4 0.578 0.914 0.743
Y5 0.249 0.249 0.743
Y6 0.422 0.086 0.257
Tm1 0.167 0.833 0.500
Tm2 0.833 0.167 0.500
Tm3 0.500 0.500 0.500


DFT (GGA-PBE) results for a geometry-optimized AcSm5YTm2 structure.

Calculated values
Symmetry: Cmc2_1, No. 36
Volume (A^3/atom): 35.09
Electronic total energy (eV per formula unit): -41.74
Formation energy (eV/atom): 0.1521
DOS at the Fermi energy (states/eV per cell): 23.8

Lattice parameters (Å, degrees): 5.533 12.342 9.492 90.00 90.00 102.95
Element x y z (fractional)
Ac1 0.603 0.205 0.925
Ac2 0.397 0.795 0.425
Sm1 0.395 0.789 0.032
Sm2 0.742 0.483 0.857
Sm3 0.475 0.950 0.754
Sm4 0.311 0.623 0.725
Sm5 0.009 0.019 0.536
Sm6 0.605 0.211 0.532
Sm7 0.258 0.517 0.357
Sm8 0.525 0.050 0.254
Sm9 0.689 0.377 0.225
Sm10 0.991 0.981 0.036
Y1 0.764 0.529 0.533
Y2 0.236 0.471 0.033
Tm1 0.888 0.775 0.790
Tm2 0.174 0.348 0.671
Tm3 0.112 0.225 0.290
Tm4 0.826 0.652 0.171


DFT (GGA-PBE) results for a geometry-optimized AcSmYTm structure.

Calculated values
Symmetry: R3m, No. 160
Energy above the lowest structure with this stoichiometry (eV per atom): 0.000
Volume (A^3/atom): 35.09
Electronic total energy (eV per formula unit): -19.50
Formation energy (eV/atom): 0.0647
DOS at the Fermi energy (states/eV per cell): 5.4

Lattice parameters (Å, degrees): 3.693 3.692 12.074 90.00 98.77 119.98
Element x y z (fractional)
Ac1 0.968 0.382 0.366
Sm1 0.479 0.137 0.632
Y1 0.128 0.962 0.104
Tm1 0.303 0.549 0.868


DFT (GGA-PBE) results for a geometry-optimized AcSmY6Tm2 structure.

Calculated values
Symmetry: C2/c, No. 15
Volume (A^3/atom): 33.74
Electronic total energy (eV per formula unit): -55.27
Formation energy (eV/atom): 0.1283
DOS at the Fermi energy (states/eV per cell): 31.5

Lattice parameters (Å, degrees): 9.557 8.919 8.919 116.97 92.64 92.64
Element x y z (fractional)
Ac1 0.250 0.967 0.033
Ac2 0.750 0.033 0.967
Sm1 0.250 0.412 0.588
Sm2 0.750 0.588 0.412
Y1 0.057 0.122 0.755
Y2 0.443 0.245 0.878
Y3 0.943 0.878 0.245
Y4 0.557 0.755 0.122
Y5 0.321 0.988 0.447
Y6 0.179 0.553 0.012
Y7 0.679 0.012 0.553
Y8 0.821 0.447 0.988
Y9 0.113 0.710 0.485
Y10 0.387 0.515 0.290
Y11 0.887 0.290 0.515
Y12 0.613 0.485 0.710
Tm1 0.448 0.799 0.689
Tm2 0.052 0.311 0.201
Tm3 0.552 0.201 0.311
Tm4 0.948 0.689 0.799


DFT (GGA-PBE) results for a geometry-optimized AcSm2Y2Tm2 structure.

Calculated values
Symmetry: C2/m, No. 12
Volume (A^3/atom): 33.69
Electronic total energy (eV per formula unit): -35.12
Formation energy (eV/atom): 0.0431
DOS at the Fermi energy (states/eV per cell): 10.8

Lattice parameters (Å, degrees): 5.137 6.258 8.127 97.43 90.00 114.23
Element x y z (fractional)
Ac1 0.000 0.000 0.000
Sm1 0.574 0.148 0.707
Sm2 0.426 0.852 0.293
Y1 0.714 0.429 0.152
Y2 0.286 0.571 0.848
Tm1 0.143 0.285 0.434
Tm2 0.857 0.715 0.566


DFT (GGA-PBE) results for a geometry-optimized AcSmTmZn structure.

Calculated values
Symmetry: F-43m, No. 216
Volume (A^3/atom): 30.00
Electronic total energy (eV per formula unit): -13.82
Formation energy (eV/atom): 0.1894
DOS at the Fermi energy (states/eV per cell): 6.5

Lattice parameters (Å, degrees): 5.537 5.537 5.537 60.00 60.00 60.00
Element x y z (fractional)
Ac1 0.750 0.750 0.750
Tm1 0.500 0.500 0.500
Zn1 0.250 0.250 0.250
Sm1 0.000 0.000 0.000


DFT (GGA-PBE) results for a geometry-optimized Ac2SmV structure.

Calculated values
Symmetry: R-3m, No. 166
Volume (A^3/atom): 36.20
Electronic total energy (eV per formula unit): -19.07
Formation energy (eV/atom): 0.7472
DOS at the Fermi energy (states/eV per cell): 5.4

Lattice parameters (Å, degrees): 3.696 3.696 12.428 81.45 81.45 60.00
Last column: magnetic moment on the atom in μB.
Element x y z (fractional)
Ac1 0.082 0.082 0.753  0.04
Ac2 0.918 0.918 0.247  0.04
Sm1 0.500 0.500 0.500  0.02
V1 0.000 0.000 0.000  2.87


DFT (GGA-PBE) results for a geometry-optimized Ac2Sm4Y3 structure.

Calculated values
Symmetry: P3m1, No. 156
Energy above the lowest structure with this stoichiometry (eV per atom): 0.029
Volume (A^3/atom): 36.33
Electronic total energy (eV per formula unit): -45.82
Formation energy (eV/atom): 0.0741
DOS at the Fermi energy (states/eV per cell): 16.4

Lattice parameters (Å, degrees): 3.724 3.724 27.217 90.00 90.00 120.00
Element x y z (fractional)
Ac1 0.667 0.333 0.092
Ac2 0.667 0.333 0.868
Sm1 0.000 0.000 0.542
Sm2 0.667 0.333 0.436
Sm3 0.667 0.333 0.228
Sm4 0.000 0.000 0.752
Y1 0.000 0.000 0.982
Y2 0.000 0.000 0.330
Y3 0.667 0.333 0.648


DFT (GGA-PBE) results for a geometry-optimized Ac3Sm6Y structure.

Calculated values
Symmetry: R-3, No. 148
Volume (A^3/atom): 38.38
Electronic total energy (eV per formula unit): -43.35
Formation energy (eV/atom): 0.3753
DOS at the Fermi energy (states/eV per cell): 24.7

Lattice parameters (Å, degrees): 10.170 10.170 7.269 45.61 45.61 60.00
Element x y z (fractional)
Ac1 0.350 0.350 0.950
Ac2 0.607 0.607 0.179
Ac3 0.093 0.093 0.720
Sm1 0.928 0.602 0.213
Sm2 0.257 0.928 0.213
Sm3 0.602 0.257 0.213
Sm4 0.098 0.443 0.687
Sm5 0.772 0.098 0.687
Sm6 0.443 0.772 0.687
Y1 0.850 0.850 0.450


DFT (GGA-PBE) results for a geometry-optimized Ac3Sm3Y structure.

Calculated values
Symmetry: R-3, No. 148
Volume (A^3/atom): 38.20
Electronic total energy (eV per formula unit): -32.62
Formation energy (eV/atom): 0.0464
DOS at the Fermi energy (states/eV per cell): 22.5

Lattice parameters (Å, degrees): 9.999 9.999 8.455 53.75 53.75 60.00
Element x y z (fractional)
Ac1 0.325 0.887 0.748
Ac2 0.887 0.041 0.748
Ac3 0.041 0.325 0.748
Ac4 0.959 0.675 0.252
Ac5 0.113 0.959 0.252
Ac6 0.675 0.113 0.252
Sm1 0.400 0.533 0.250
Sm2 0.818 0.400 0.250
Sm3 0.533 0.818 0.250
Sm4 0.467 0.182 0.750
Sm5 0.182 0.600 0.750
Sm6 0.600 0.467 0.750
Y1 0.744 0.744 0.769
Y2 0.256 0.256 0.231


DFT (GGA-PBE) results for a geometry-optimized Ac8Sm3Y2 structure.

Calculated values
Symmetry: C2/m, No. 12
Volume (A^3/atom): 41.33
Electronic total energy (eV per formula unit): -57.33
Formation energy (eV/atom): 0.2016
DOS at the Fermi energy (states/eV per cell): 20.9

Lattice parameters (Å, degrees): 6.360 8.559 10.833 66.73 83.27 90.00
Element x y z (fractional)
Ac1 0.227 0.459 0.081
Ac2 0.773 0.541 0.919
Ac3 0.272 0.824 0.352
Ac4 0.728 0.176 0.648
Ac5 0.221 0.867 0.711
Ac6 0.221 0.422 0.711
Ac7 0.779 0.578 0.289
Ac8 0.779 0.133 0.289
Sm1 0.000 0.000 0.000
Sm2 0.500 0.175 0.000
Sm3 0.500 0.825 0.000
Y1 0.733 0.711 0.578
Y2 0.267 0.289 0.422